[1]
Compound: VPdPbI2
Source: Alexandria via LeMat-Bulk
Functional: PBE
Structure: optimized geometry

Unit cell a=5.4258 b=5.4258 c=4.9517 alpha=90.00 beta=90.00 gamma=90.00
Last column: nearest neighbours and their distance in Å.
Space group P4/mmm (No. 123)
Unique sites:
V  0.0000  0.0000  0.0000 [1 per cell]  2 Pd 2.48, 4 I 2.71
Pd  0.0000  0.0000  0.5000 [1 per cell]  2 V 2.48
Pb  0.5000  0.5000  0.5000 [1 per cell]  8 I 3.67, 4 Pd 3.84
I  0.0000  0.5000  0.0000 [2 per cell]  2 V 2.71

For the uncorrected formation energy, the calculation gives 330 meV per atom. Its spin magnetization is 2.59 Bohr magnetons per cell.



[2]
Compound: HgOs2Se
Source: Alexandria via LeMat-Bulk
Functional: PBE
Structure: optimized geometry

Unit cell a=2.8727 b=2.8727 c=9.3975 alpha=90.00 beta=90.00 gamma=90.00
Last column: nearest neighbours and their distance in Å.
Space group P4mm (No. 99)
Unique sites:
Hg  0.0000  0.0000  0.0000 [1 per cell]  4 Hg 2.87, 4 Os 3.02
Os  0.0000  0.0000  0.4168 [1 per cell]  8 Os 2.63-2.87, 4 Se 2.72
Os  0.5000  0.5000  0.2384 [1 per cell]  8 Os 2.63-2.87
Se  0.5000  0.5000  0.6100 [1 per cell]  4 Os 2.72, 4 Se 2.87

For the uncorrected formation energy, the calculation gives 473 meV per atom. Its spin magnetization is 0.00 Bohr magnetons per cell.



[3]
Compound: Li2HfAsO
Source: Alexandria via LeMat-Bulk
Functional: PBE
Structure: optimized geometry

Unit cell a=3.9213 b=3.9213 c=4.3455 alpha=90.00 beta=90.00 gamma=90.00
Last column: nearest neighbours and their distance in Å.
Space group P4/mmm (No. 123)
Unique sites:
Li  0.0000  0.5000  0.0000 [2 per cell]  2 O 1.96
Hf  0.0000  0.0000  0.5000 [1 per cell]  2 O 2.17
As  0.5000  0.5000  0.5000 [1 per cell]  4 Hf 2.77, 8 Li 2.93
O  0.0000  0.0000  0.0000 [1 per cell]  4 Li 1.96, 2 Hf 2.17

For the uncorrected formation energy, the calculation gives -1501 meV per atom. Its spin magnetization is 0.00 Bohr magnetons per cell.



[4]
Compound: LiAl3Zn3
Source: Alexandria via LeMat-Bulk
Functional: PBE
Structure: optimized geometry

Unit cell a=7.4646 b=7.4646 c=4.5990 alpha=90.00 beta=90.00 gamma=120.00
Last column: nearest neighbours and their distance in Å.
Space group P6_3/m (No. 176)
Unique sites:
Li  0.3333  0.6667  0.2500 [2 per cell]  9 Al 2.81-2.83, 3 Zn 2.82
Al  0.0922  0.6203  0.7500 [6 per cell]  5 Zn 2.79-2.82, 3 Li 2.81-2.83, 4 Al 2.82-2.87
Zn  0.0456  0.8069  0.2500 [6 per cell]  5 Al 2.79-2.82, 1 Li 2.82, 6 Zn 2.82-2.84

The value obtained for the formation energy is -10 meV per atom. Its spin magnetization is 0.00 Bohr magnetons per cell. For the distance to the lowest polymorph of the same formula, the calculation gives 0 meV per atom.



[5]
Compound: GaMoPt2
Source: Alexandria via LeMat-Bulk
Functional: PBE
Structure: optimized geometry

Unit cell a=3.8574 b=3.8574 c=18.0587 alpha=90.00 beta=90.00 gamma=90.00
Last column: nearest neighbours and their distance in Å.
Space group I-42d (No. 122)
Unique sites:
Ga  0.0000  0.0000  0.0000 [4 per cell]  4 Pt 2.63, 4 Mo 2.73
Mo  0.0000  0.0000  0.5000 [4 per cell]  4 Pt 2.64, 4 Ga 2.73
Pt  0.2479  0.2500  0.1250 [8 per cell]  2 Ga 2.63, 2 Mo 2.64, 4 Pt 2.72-2.74

The value obtained for the formation energy is 53 meV per atom. Its spin magnetization is 0.00 Bohr magnetons per cell.



[6]
Compound: LiHo2Ag
Source: Alexandria via LeMat-Bulk
Functional: PBE
Structure: optimized geometry

Unit cell a=7.2634 b=7.2634 c=7.2634 alpha=90.00 beta=90.00 gamma=90.00
Last column: nearest neighbours and their distance in Å.
Space group Fm-3m (No. 225)
Unique sites:
Li  0.0000  0.0000  0.0000 [4 per cell]  8 Ho 3.15
Ho  0.2500  0.2500  0.2500 [8 per cell]  4 Li 3.15, 4 Ag 3.15
Ag  0.0000  0.0000  0.5000 [4 per cell]  8 Ho 3.15

The value obtained for the formation energy is -99 meV per atom. Its spin magnetization is 0.00 Bohr magnetons per cell. For the distance to the lowest polymorph of the same formula, the calculation gives 11 meV per atom.



- Which of these has the highest spin magnetization?
  VPdPbI2